[1]
An optimized crystal structure of AlAg5, computed with GGA-PBE.

Properties
DFT total energy: -16.48 eV/cell
Formation energy: 0.253 eV per atom
Polymorph energy (0 for the lowest one): 279.6 meV/atom

CIF file:
```
data_AlAg5
_chemical_formula_sum 'Al1 Ag5'
_space_group_name_H-M_alt 'P 1'
_space_group_IT_number 1
_space_group_name_Hall 'P 1'
_cell_length_a 5.407
_cell_length_b 5.407
_cell_length_c 4.829
_cell_angle_alpha 90.00
_cell_angle_beta 90.00
_cell_angle_gamma 120.00
loop_
_atom_site_label
_atom_site_fract_x
_atom_site_fract_y
_atom_site_fract_z
_atom_site_occupancy
Al1 0.000 0.000 0.000 1
Ag1 0.333 0.667 0.000 1
Ag2 0.667 0.333 0.000 1
Ag3 0.500 0.000 0.500 1
Ag4 0.000 0.500 0.500 1
Ag5 0.500 0.500 0.500 1
```

***

[2]
An optimized crystal structure of ZrPd3Pt, computed with GGA-PBE.

Properties
DFT total energy: -66.77 eV/cell
Formation energy: -0.643 eV per atom
Polymorph energy (0 for the lowest one): 0.0 meV/atom

CIF file:
```
data_ZrPd3Pt
_chemical_formula_sum 'Zr2 Pd6 Pt2'
_space_group_name_H-M_alt 'P 1'
_space_group_IT_number 1
_space_group_name_Hall 'P 1'
_cell_length_a 3.994
_cell_length_b 5.700
_cell_length_c 10.394
_cell_angle_alpha 133.68
_cell_angle_beta 101.08
_cell_angle_gamma 90.00
loop_
_atom_site_label
_atom_site_fract_x
_atom_site_fract_y
_atom_site_fract_z
_atom_site_occupancy
Zr1 0.611 0.777 0.221 1
Zr2 0.389 0.223 0.779 1
Pd1 0.999 0.249 0.998 1
Pd2 0.001 0.751 0.002 1
Pd3 0.400 0.750 0.800 1
Pd4 0.600 0.250 0.200 1
Pd5 0.198 0.248 0.397 1
Pd6 0.802 0.752 0.603 1
Pt1 0.803 0.261 0.605 1
Pt2 0.197 0.739 0.395 1
```

***

[3]
An optimized crystal structure of TcSe, computed with GGA-PBE.

Properties
DFT total energy: -51.05 eV/cell
Formation energy (no corrections): 0.54 eV/atom
Polymorph energy (0 for the lowest one): 749.9 meV/atom

CIF file:
```
data_TcSe
_chemical_formula_sum 'Tc4 Se4'
_space_group_name_H-M_alt 'P 1'
_space_group_IT_number 1
_space_group_name_Hall 'P 1'
_cell_length_a 5.247
_cell_length_b 5.247
_cell_length_c 5.247
_cell_angle_alpha 90.00
_cell_angle_beta 90.00
_cell_angle_gamma 90.00
loop_
_atom_site_label
_atom_site_fract_x
_atom_site_fract_y
_atom_site_fract_z
_atom_site_occupancy
Tc1 0.500 0.500 0.500 1
Tc2 0.500 0.000 0.000 1
Tc3 0.000 0.500 0.000 1
Tc4 0.000 0.000 0.500 1
Se1 0.000 0.000 0.000 1
Se2 0.000 0.500 0.500 1
Se3 0.500 0.000 0.500 1
Se4 0.500 0.500 0.000 1
```

***

[4]
An optimized crystal structure of Zr2ZnSbC, computed with GGA-PBE.

Properties
DFT total energy: -33.09 eV/cell
Formation energy (no corrections): -0.27 eV/atom

CIF file:
```
data_Zr2ZnSbC
_chemical_formula_sum 'Zr2 Zn1 Sb1 C1'
_space_group_name_H-M_alt 'P 1'
_space_group_IT_number 1
_space_group_name_Hall 'P 1'
_cell_length_a 4.744
_cell_length_b 3.939
_cell_length_c 4.744
_cell_angle_alpha 90.00
_cell_angle_beta 90.00
_cell_angle_gamma 90.00
loop_
_atom_site_label
_atom_site_fract_x
_atom_site_fract_y
_atom_site_fract_z
_atom_site_occupancy
Sb1 0.500 0.500 0.500 1
Zn1 0.000 0.500 0.000 1
C1 0.000 0.000 0.000 1
Zr1 0.000 0.000 0.500 1
Zr2 0.500 0.000 0.000 1
```

***

Number 1: theoretical density 7.7 g cm⁻³. Number 2: theoretical density 12.2 g cm⁻³. Number 3: theoretical density 8.1 g cm⁻³. Number 4: theoretical density 7.1 g cm⁻³.